(1)
! La2Pm2Nd4Sm (GGA-PBE, relaxed); values from VASP
&SYSTEM
  ibrav = 0, nat = 9, ntyp = 4
/
ATOMIC_SPECIES
La 138.91 La.upf
Pm 145.00 Pm.upf
Nd 144.24 Nd.upf
Sm 150.36 Sm.upf
CELL_PARAMETERS angstrom
9.6485 -1.8586 0.0000
9.6485 1.8586 0.0000
-4.2842 0.0000 8.8970
ATOMIC_POSITIONS crystal
La 0.1661 0.1661 0.4992
La 0.8339 0.8339 0.5008
Pm 0.3518 0.3518 0.8333
Pm 0.6482 0.6482 0.1667
Nd 0.0185 0.0185 0.8330
Nd 0.3149 0.3149 0.1666
Nd 0.6851 0.6851 0.8334
Nd 0.9815 0.9815 0.1670
Sm 0.5000 0.5000 0.5000
! Crystal system = monoclinic
! Energy of formation from the pure elements = 0.007 eV/atom

---

(2)
! CeSm2FeN4 (GGA-PBE, relaxed); values from VASP
&SYSTEM
  ibrav = 0, nat = 16, ntyp = 4
/
ATOMIC_SPECIES
Ce 140.12 Ce.upf
Sm 150.36 Sm.upf
Fe 55.84 Fe.upf
N 14.01 N.upf
CELL_PARAMETERS angstrom
1.7296 -5.7404 0.0000
1.7296 5.7404 0.0000
0.0000 0.0000 11.9592
ATOMIC_POSITIONS crystal
Ce 0.0981 0.9019 0.7500
Ce 0.9019 0.0981 0.2500
Sm 0.3691 0.6309 0.5503
Sm 0.3691 0.6309 0.9497
Sm 0.6309 0.3691 0.0503
Sm 0.6309 0.3691 0.4497
Fe 0.1685 0.8315 0.2500
Fe 0.8315 0.1685 0.7500
N 0.0000 0.0000 0.0000
N 0.0000 0.0000 0.5000
N 0.2748 0.7252 0.1319
N 0.2748 0.7252 0.3681
N 0.4449 0.5551 0.7500
N 0.5551 0.4449 0.2500
N 0.7252 0.2748 0.6319
N 0.7252 0.2748 0.8681
! Crystal system = orthorhombic
! Energy relative to the elements, uncorrected = -1.028 eV/atom

---

(3)
! K2CoRh (GGA-PBE, relaxed); values from VASP
&SYSTEM
  ibrav = 0, nat = 4, ntyp = 3
/
ATOMIC_SPECIES
K 39.10 K.upf
Co 58.93 Co.upf
Rh 102.91 Rh.upf
CELL_PARAMETERS angstrom
0.0000 3.5771 3.5771
3.5771 0.0000 3.5771
3.5771 3.5771 0.0000
ATOMIC_POSITIONS crystal
K 0.0000 0.0000 0.0000
K 0.2500 0.2500 0.2500
Co 0.5000 0.5000 0.5000
Rh 0.7500 0.7500 0.7500
! Crystal system = cubic
! Energy of formation from the pure elements = 1.016 eV/atom

---

(4)
! Zr2TeAs (GGA-PBE, relaxed); values from VASP
&SYSTEM
  ibrav = 0, nat = 8, ntyp = 3
/
ATOMIC_SPECIES
Zr 91.22 Zr.upf
Te 127.60 Te.upf
As 74.92 As.upf
CELL_PARAMETERS angstrom
-3.1395 3.1395 6.2793
3.1395 -3.1395 6.2793
3.1395 3.1395 -6.2793
ATOMIC_POSITIONS crystal
Zr 0.0912 0.6250 0.9662
Zr 0.3750 0.3412 0.4662
Zr 0.6588 0.1250 0.0338
Zr 0.8750 0.9088 0.5338
Te 0.2500 0.7500 0.5000
Te 0.5000 0.5000 0.0000
As 0.0000 0.0000 0.0000
As 0.7500 0.2500 0.5000
! Crystal system = tetragonal
! Energy relative to the elements, uncorrected = -0.287 eV/atom

---

(5)
! Zn3Pd4 (GGA-PBE, relaxed); values from VASP
&SYSTEM
  ibrav = 0, nat = 14, ntyp = 2
/
ATOMIC_SPECIES
Zn 65.41 Zn.upf
Pd 106.42 Pd.upf
CELL_PARAMETERS angstrom
5.7494 3.3194 1.7865
-5.7494 3.3194 1.7865
0.0000 -6.6388 1.7865
ATOMIC_POSITIONS crystal
Zn 0.0510 0.7719 0.6355
Zn 0.2281 0.3645 0.9490
Zn 0.3645 0.9490 0.2281
Zn 0.6355 0.0510 0.7719
Zn 0.7719 0.6355 0.0510
Zn 0.9490 0.2281 0.3645
Pd 0.0000 0.0000 0.0000
Pd 0.1290 0.5738 0.2766
Pd 0.2766 0.1290 0.5738
Pd 0.4262 0.7234 0.8710
Pd 0.5000 0.5000 0.5000
Pd 0.5738 0.2766 0.1290
Pd 0.7234 0.8710 0.4262
Pd 0.8710 0.4262 0.7234
! Crystal system = trigonal
! Energy of formation from the pure elements = -0.502 eV/atom

---

(6)
! Ce3ThOs3 (GGA-PBE, relaxed); values from VASP
&SYSTEM
  ibrav = 0, nat = 14, ntyp = 3
/
ATOMIC_SPECIES
Ce 140.12 Ce.upf
Th 232.04 Th.upf
Os 190.23 Os.upf
CELL_PARAMETERS angstrom
4.3886 2.5338 5.3155
-4.3886 2.5338 5.3155
0.0000 -5.0675 5.3155
ATOMIC_POSITIONS crystal
Ce 0.1216 0.3658 0.8216
Ce 0.1784 0.8784 0.6342
Ce 0.3658 0.8216 0.1216
Ce 0.6342 0.1784 0.8784
Ce 0.8216 0.1216 0.3658
Ce 0.8784 0.6342 0.1784
Th 0.3296 0.3296 0.3296
Th 0.6704 0.6704 0.6704
Os 0.0541 0.6991 0.4456
Os 0.3009 0.5544 0.9459
Os 0.4456 0.0541 0.6991
Os 0.5544 0.9459 0.3009
Os 0.6991 0.4456 0.0541
Os 0.9459 0.3009 0.5544
! Crystal system = trigonal
! Energy of formation from the pure elements = -0.165 eV/atom

---

(7)
! LiTbHfFe (GGA-PBE, relaxed); values from VASP
&SYSTEM
  ibrav = 0, nat = 4, ntyp = 4
/
ATOMIC_SPECIES
Li 6.94 Li.upf
Tb 158.93 Tb.upf
Hf 178.49 Hf.upf
Fe 55.84 Fe.upf
CELL_PARAMETERS angstrom
0.0000 3.3052 3.3052
3.3052 0.0000 3.3052
3.3052 3.3052 0.0000
ATOMIC_POSITIONS crystal
Li 0.0000 0.0000 0.0000
Tb 0.2500 0.2500 0.2500
Hf 0.7500 0.7500 0.7500
Fe 0.5000 0.5000 0.5000
! Crystal system = cubic
! Energy of formation from the pure elements = 0.069 eV/atom

---

(8)
! LiCl3 (GGA-PBE, relaxed); values from VASP
&SYSTEM
  ibrav = 0, nat = 4, ntyp = 2
/
ATOMIC_SPECIES
Li 6.94 Li.upf
Cl 35.45 Cl.upf
CELL_PARAMETERS angstrom
4.5262 0.0000 0.0000
0.0000 6.0231 0.0000
-2.1587 0.0000 4.4444
ATOMIC_POSITIONS crystal
Li 0.0000 0.0000 0.0000
Cl 0.1722 0.5000 0.4217
Cl 0.5000 0.0000 0.0000
Cl 0.8278 0.5000 0.5783
! Crystal system = monoclinic
! Energy relative to the elements, uncorrected = -0.737 eV/atom